# 1
Density functional theory data (SCAN) for a PBEsol-optimized structure of KH8WN2O3F3.

Unit cell a=6.3110 b=6.1811 c=9.2657 alpha=89.70 beta=90.00 gamma=90.00
Fractional coordinates of all 36 atoms:
N (0.3046, 0.9638, 0.7523)
N (0.7698, 0.4978, 0.7472)
N (0.6954, 0.4638, 0.2523)
N (0.2302, 0.9978, 0.2472)
H (0.5374, 0.5119, 0.2814)
H (0.2962, 0.7986, 0.7217)
H (0.2678, 0.0848, 0.3386)
H (0.7377, 0.3306, 0.7681)
H (0.7322, 0.5848, 0.8386)
H (0.0669, 0.0151, 0.2262)
H (0.7443, 0.5586, 0.1671)
H (0.3224, 0.0538, 0.1599)
H (0.7989, 0.4763, 0.3398)
H (0.7038, 0.2986, 0.2217)
H (0.2623, 0.8306, 0.2681)
H (0.6776, 0.5538, 0.6599)
H (0.4626, 0.0119, 0.7814)
H (0.9331, 0.5151, 0.7262)
H (0.2557, 0.0586, 0.6671)
H (0.2011, 0.9763, 0.8398)
F (0.6213, 0.7405, 0.9968)
F (0.5240, 0.6536, 0.5304)
F (0.4760, 0.1536, 0.0304)
F (0.3787, 0.2405, 0.4968)
F (0.0886, 0.8041, 0.4970)
F (0.9114, 0.3041, 0.9970)
O (0.9740, 0.3744, 0.4741)
O (0.2934, 0.5728, 0.3082)
O (0.2183, 0.5368, 0.6957)
O (0.7066, 0.0728, 0.8082)
O (0.0260, 0.8744, 0.9741)
O (0.7817, 0.0368, 0.1957)
W (0.7844, 0.0143, 0.9977)
W (0.2156, 0.5143, 0.4977)
K (0.7359, 0.0122, 0.4981)
K (0.2641, 0.5122, 0.9981)

Output
The energy is -9.956 eV per atom. As for the space group: Pc. As for the magnetization: 0.00 Bohr magnetons per cell.

# 2
Density functional theory data (SCAN) for a PBEsol-optimized structure of KH8WN2F6.

Unit cell a=6.3467 b=6.3356 c=9.2039 alpha=90.49 beta=90.00 gamma=90.00
Each line ends with the local moment (μB).
Fractional coordinates of all 36 atoms:
F (0.5676, 0.5583, 0.7180)  0.03
F (0.2803, 0.8417, 0.0291)  0.04
F (0.0676, 0.9417, 0.7820)  0.03
F (0.3425, 0.7800, 0.4678)  0.04
F (0.4324, 0.4417, 0.2820)  0.03
F (0.8425, 0.7200, 0.0322)  0.04
F (0.7803, 0.6583, 0.4709)  0.04
F (0.9324, 0.0583, 0.2180)  0.03
F (0.2197, 0.3417, 0.5291)  0.04
F (0.7197, 0.1583, 0.9709)  0.04
F (0.6575, 0.2200, 0.5322)  0.04
F (0.1575, 0.2800, 0.9678)  0.04
N (0.0011, 0.4868, 0.2499)  0.00
N (0.9989, 0.5132, 0.7501)  0.00
N (0.5011, 0.0132, 0.2501)  0.00
N (0.4989, 0.9868, 0.7499)  0.00
H (0.5778, 0.0465, 0.8421)  0.00
H (0.5441, 0.0757, 0.6590)  0.00
H (0.4222, 0.9535, 0.1579)  0.00
H (0.9559, 0.5757, 0.1590)  0.00
H (0.0385, 0.6718, 0.7667)  0.00
H (0.9615, 0.3282, 0.2333)  0.00
H (0.8361, 0.5076, 0.7345)  0.00
H (0.9222, 0.5465, 0.3421)  0.00
H (0.3361, 0.9924, 0.7655)  0.00
H (0.4559, 0.9243, 0.3410)  0.00
H (0.6639, 0.0076, 0.2345)  0.00
H (0.0778, 0.4535, 0.6579)  0.00
H (0.5385, 0.8282, 0.7333)  0.00
H (0.1639, 0.4924, 0.2655)  0.00
H (0.0441, 0.4243, 0.8410)  0.00
H (0.4615, 0.1718, 0.2667)  0.00
W (0.0000, 0.0000, 0.0000)  2.38
W (0.5000, 0.5000, 0.5000)  2.38
K (0.0000, 0.0000, 0.5000)  0.00
K (0.5000, 0.5000, 0.0000)  0.00

Output
The energy is -9.529 eV per atom. As for the space group: P2_1/c. As for the magnetization: 6.00 Bohr magnetons per cell.

# 3
Density functional theory data (SCAN) for a PBEsol-optimized structure of K2Na2Sb2H6O3F10.

Unit cell a=6.0486 b=6.0480 c=17.2141 alpha=90.00 beta=90.00 gamma=91.11
Fractional coordinates of all 50 atoms:
F (0.0063, 0.9949, 0.3637)
F (0.9848, 0.4917, 0.6035)
F (0.4815, 0.5189, 0.4129)
F (0.5076, 0.0148, 0.8967)
F (0.5076, 0.0148, 0.6033)
F (0.2064, 0.7937, 0.0190)
F (0.9937, 0.0051, 0.6363)
F (0.9937, 0.0051, 0.8637)
F (0.4924, 0.9852, 0.1033)
F (0.4924, 0.9852, 0.3967)
F (0.0152, 0.5083, 0.1035)
F (0.5185, 0.4811, 0.5871)
F (0.4815, 0.5189, 0.0871)
F (0.5185, 0.4811, 0.9129)
F (0.0152, 0.5083, 0.3965)
F (0.9848, 0.4917, 0.8965)
F (0.2064, 0.7937, 0.4810)
F (0.0063, 0.9949, 0.1363)
F (0.7936, 0.2063, 0.9810)
F (0.7936, 0.2063, 0.5190)
K (0.2381, 0.2383, 0.4999)
K (0.7619, 0.7617, 0.9999)
K (0.2381, 0.2383, 0.0001)
K (0.7619, 0.7617, 0.5001)
Sb (0.7386, 0.2607, 0.8676)
Sb (0.7386, 0.2608, 0.6324)
Sb (0.2614, 0.7393, 0.1324)
Sb (0.2614, 0.7392, 0.3676)
O (0.7464, 0.7847, 0.2500)
O (0.2536, 0.2153, 0.7500)
O (0.3452, 0.6531, 0.7500)
O (0.2166, 0.2559, 0.2500)
O (0.7834, 0.7441, 0.7500)
O (0.6548, 0.3469, 0.2500)
H (0.8555, 0.8149, 0.7954)
H (0.8172, 0.8568, 0.2046)
H (0.1828, 0.1432, 0.7046)
H (0.6836, 0.5106, 0.2500)
H (0.8555, 0.8150, 0.7046)
H (0.4910, 0.3188, 0.2500)
H (0.5090, 0.6812, 0.7500)
H (0.8172, 0.8568, 0.2954)
H (0.1828, 0.1432, 0.7954)
H (0.1445, 0.1850, 0.2954)
H (0.1445, 0.1851, 0.2046)
H (0.3164, 0.4894, 0.7500)
Na (0.7383, 0.2621, 0.3784)
Na (0.7383, 0.2621, 0.1216)
Na (0.2617, 0.7379, 0.8784)
Na (0.2617, 0.7379, 0.6216)

Output
The energy is -9.120 eV per atom. As for the space group: P2_1/m. As for the magnetization: 0.00 Bohr magnetons per cell.

# 4
Density functional theory data (SCAN) for a PBEsol-optimized structure of KPH3O3F.

Unit cell a=6.4676 b=6.6275 c=10.8583 alpha=90.00 beta=90.00 gamma=106.97
Fractional coordinates of all 36 atoms:
O (0.2312, 0.4597, 0.9261)
O (0.9349, 0.3191, 0.6496)
O (0.4349, 0.8191, 0.8504)
O (0.3878, 0.7209, 0.4963)
O (0.8878, 0.2209, 0.0037)
O (0.0651, 0.6809, 0.3504)
O (0.5651, 0.1809, 0.1496)
O (0.1122, 0.7791, 0.9963)
O (0.7688, 0.5403, 0.0739)
O (0.7312, 0.9597, 0.5739)
O (0.2688, 0.0403, 0.4261)
O (0.6122, 0.2791, 0.5037)
P (0.3032, 0.7005, 0.9594)
P (0.1968, 0.7995, 0.4594)
P (0.8032, 0.2005, 0.5406)
P (0.6968, 0.2995, 0.0406)
H (0.4477, 0.7243, 0.0592)
H (0.8525, 0.4384, 0.7145)
H (0.3525, 0.9384, 0.7855)
H (0.4193, 0.1370, 0.4626)
H (0.0807, 0.3630, 0.9626)
H (0.6475, 0.0616, 0.2145)
H (0.0523, 0.7757, 0.5592)
H (0.9477, 0.2243, 0.4408)
H (0.5807, 0.8630, 0.5374)
H (0.5523, 0.2757, 0.9408)
H (0.9193, 0.6370, 0.0374)
H (0.1475, 0.5616, 0.2855)
K (0.3784, 0.4389, 0.6843)
K (0.1216, 0.0611, 0.1843)
K (0.8784, 0.9389, 0.8157)
K (0.6216, 0.5611, 0.3157)
F (0.2191, 0.4625, 0.2318)
F (0.7191, 0.9625, 0.2682)
F (0.2809, 0.0375, 0.7318)
F (0.7809, 0.5375, 0.7682)

Output
The energy is -7.494 eV per atom. As for the space group: P2_1/c. As for the magnetization: 0.00 Bohr magnetons per cell.

# 5
Density functional theory data (SCAN) for a PBEsol-optimized structure of KPH3O4F.

Unit cell a=6.2358 b=6.8041 c=12.2745 alpha=90.00 beta=90.00 gamma=114.96
Fractional coordinates of all 40 atoms:
O (0.4634, 0.2460, 0.5409)
O (0.6206, 0.6241, 0.1211)
O (0.1159, 0.5664, 0.8321)
O (0.1159, 0.0664, 0.6679)
O (0.4651, 0.7944, 0.2592)
O (0.5349, 0.2056, 0.7408)
O (0.6206, 0.1241, 0.3789)
O (0.3794, 0.3759, 0.8789)
O (0.8841, 0.4336, 0.1679)
O (0.5349, 0.7056, 0.7592)
O (0.3794, 0.8759, 0.6211)
O (0.8841, 0.9336, 0.3321)
O (0.4634, 0.7460, 0.9591)
O (0.5366, 0.7540, 0.4591)
O (0.4651, 0.2944, 0.2408)
O (0.5366, 0.2540, 0.0409)
K (0.1289, 0.3942, 0.3669)
K (0.8711, 0.6058, 0.6331)
K (0.8711, 0.1058, 0.8669)
K (0.1289, 0.8942, 0.1331)
H (0.4644, 0.3106, 0.9783)
H (0.5370, 0.7210, 0.2021)
H (0.5356, 0.1894, 0.4783)
H (0.9613, 0.8111, 0.3873)
H (0.5370, 0.2210, 0.2979)
H (0.4630, 0.2790, 0.7979)
H (0.4644, 0.8106, 0.5217)
H (0.0387, 0.6889, 0.8873)
H (0.4630, 0.7790, 0.7021)
H (0.9613, 0.3111, 0.1127)
H (0.5356, 0.6894, 0.0217)
H (0.0387, 0.1889, 0.6127)
F (0.0252, 0.7114, 0.4302)
F (0.9748, 0.7886, 0.9302)
F (0.0252, 0.2114, 0.0698)
F (0.9748, 0.2886, 0.5698)
P (0.3662, 0.0934, 0.6422)
P (0.6338, 0.9066, 0.3578)
P (0.3662, 0.5934, 0.8578)
P (0.6338, 0.4066, 0.1422)

Output
The energy is -7.706 eV per atom. As for the space group: P2_1/c. As for the magnetization: 0.00 Bohr magnetons per cell.

# 6
Density functional theory data (SCAN) for a PBEsol-optimized structure of K2TeH6O6F2.

Unit cell a=7.2251 b=10.3270 c=11.4513 alpha=90.00 beta=90.00 gamma=90.00
Fractional coordinates of all 68 atoms:
K (0.2140, 0.7246, 0.2796)
K (0.7860, 0.2754, 0.7204)
K (0.2140, 0.2246, 0.2204)
K (0.7140, 0.7754, 0.2796)
K (0.2860, 0.2246, 0.7204)
K (0.2860, 0.7246, 0.7796)
K (0.7860, 0.7754, 0.7796)
K (0.7140, 0.2754, 0.2204)
O (0.5213, 0.8745, 0.6293)
O (0.4787, 0.6255, 0.1293)
O (0.0682, 0.8688, 0.9012)
O (0.2200, 0.5373, 0.9531)
O (0.5213, 0.3745, 0.8707)
O (0.0213, 0.1255, 0.8707)
O (0.2200, 0.0373, 0.5469)
O (0.0213, 0.6255, 0.6293)
O (0.7200, 0.9627, 0.9531)
O (0.4787, 0.1255, 0.3707)
O (0.9318, 0.1312, 0.0988)
O (0.9318, 0.6312, 0.4012)
O (0.9787, 0.3745, 0.3707)
O (0.5682, 0.6312, 0.9012)
O (0.5682, 0.1312, 0.5988)
O (0.2800, 0.0373, 0.0469)
O (0.4318, 0.3688, 0.0988)
O (0.7800, 0.4627, 0.0469)
O (0.0682, 0.3688, 0.5988)
O (0.9787, 0.8745, 0.1293)
O (0.4318, 0.8688, 0.4012)
O (0.2800, 0.5373, 0.4531)
O (0.7800, 0.9627, 0.4531)
O (0.7200, 0.4627, 0.5469)
F (0.0071, 0.6299, 0.0974)
F (0.5071, 0.8701, 0.0974)
F (0.4929, 0.6299, 0.5974)
F (0.5071, 0.3701, 0.4026)
F (0.0071, 0.1299, 0.4026)
F (0.4929, 0.1299, 0.9026)
F (0.9929, 0.8701, 0.5974)
F (0.9929, 0.3701, 0.9026)
H (0.9923, 0.2861, 0.4067)
H (0.1416, 0.0819, 0.4807)
H (0.0077, 0.7139, 0.5933)
H (0.1416, 0.5819, 0.0193)
H (0.5077, 0.2861, 0.9067)
H (0.8614, 0.0422, 0.4285)
H (0.3614, 0.4578, 0.4285)
H (0.4923, 0.7139, 0.0933)
H (0.0077, 0.2139, 0.9067)
H (0.1386, 0.4578, 0.9285)
H (0.6416, 0.9181, 0.0193)
H (0.3584, 0.5819, 0.5193)
H (0.9923, 0.7861, 0.0933)
H (0.5077, 0.7861, 0.5933)
H (0.3584, 0.0819, 0.9807)
H (0.8584, 0.4181, 0.9807)
H (0.6386, 0.5422, 0.5715)
H (0.8614, 0.5422, 0.0715)
H (0.1386, 0.9578, 0.5715)
H (0.6416, 0.4181, 0.4807)
H (0.3614, 0.9578, 0.0715)
H (0.8584, 0.9181, 0.5193)
H (0.4923, 0.2139, 0.4067)
H (0.6386, 0.0422, 0.9285)
Te (0.0000, 0.5000, 0.5000)
Te (0.5000, 0.0000, 0.5000)
Te (0.5000, 0.5000, 0.0000)
Te (0.0000, 0.0000, 0.0000)

Output
The energy is -8.432 eV per atom. As for the space group: Pbca. As for the magnetization: 0.33 Bohr magnetons per cell.

# 7
Density functional theory data (SCAN) for a PBEsol-optimized structure of K4Ti2H2O5F8.

Unit cell a=6.5605 b=9.2128 c=11.5246 alpha=72.08 beta=73.46 gamma=69.14
Fractional coordinates of all 42 atoms:
F (0.3493, 0.4443, 0.0158)
F (0.1318, 0.1634, 0.3012)
F (0.7050, 0.8036, 0.5233)
F (0.8094, 0.0557, 0.4842)
F (0.2950, 0.1964, 0.4767)
F (0.9680, 0.3036, 0.0233)
F (0.7286, 0.3328, 0.8583)
F (0.0804, 0.8328, 0.3583)
F (0.9196, 0.1672, 0.6417)
F (0.6507, 0.5557, 0.9842)
F (0.8682, 0.8366, 0.6988)
F (0.0320, 0.6964, 0.9767)
F (0.1906, 0.9443, 0.5158)
F (0.4036, 0.6634, 0.8012)
F (0.5964, 0.3366, 0.1988)
F (0.2714, 0.6672, 0.1417)
K (0.1907, 0.0224, 0.1204)
K (0.5845, 0.0158, 0.3233)
K (0.8093, 0.9776, 0.8796)
K (0.9236, 0.4842, 0.1767)
K (0.4155, 0.9842, 0.6767)
K (0.0764, 0.5158, 0.8233)
K (0.6666, 0.5224, 0.6204)
K (0.3334, 0.4776, 0.3796)
Ti (0.3362, 0.6862, 0.9659)
Ti (0.0116, 0.1862, 0.4659)
Ti (0.6638, 0.3138, 0.0341)
Ti (0.9884, 0.8138, 0.5341)
H (0.6325, 0.2210, 0.6898)
H (0.5432, 0.2790, 0.8102)
H (0.4568, 0.7210, 0.1898)
H (0.3675, 0.7790, 0.3102)
O (0.9408, 0.4127, 0.4229)
O (0.4910, 0.2500, 0.7500)
O (0.7554, 0.3574, 0.4292)
O (0.2236, 0.9127, 0.9229)
O (0.5420, 0.1426, 0.0708)
O (0.4580, 0.8574, 0.9292)
O (0.7764, 0.0873, 0.0771)
O (0.2446, 0.6426, 0.5708)
O (0.5090, 0.7500, 0.2500)
O (0.0592, 0.5873, 0.5771)

Output
The energy is -8.898 eV per atom. As for the space group: C2/c. As for the magnetization: 0.15 Bohr magnetons per cell.

# 8
Density functional theory data (SCAN) for a PBEsol-optimized structure of K2VH2OF5.

Unit cell a=6.2151 b=6.2151 c=7.8032 alpha=84.82 beta=84.82 gamma=78.81
Each line ends with the local moment (μB).
Fractional coordinates of all 22 atoms:
F (0.6154, 0.0100, 0.6911)  0.00
F (0.3846, 0.9900, 0.3089)  0.00
F (0.5534, 0.4466, 0.7500)  0.00
F (0.2797, 0.8707, 0.0054)  0.02
F (0.1293, 0.7203, 0.4946)  0.02
F (0.9900, 0.3846, 0.8089)  0.00
F (0.0100, 0.6154, 0.1911)  0.00
F (0.7203, 0.1293, 0.9946)  0.02
F (0.4466, 0.5534, 0.2500)  0.00
F (0.8707, 0.2797, 0.5054)  0.02
K (0.3009, 0.2967, 0.5360)  0.00
K (0.7033, 0.6991, 0.9640)  0.00
K (0.2967, 0.3009, 0.0360)  0.00
K (0.6991, 0.7033, 0.4640)  0.00
V (0.2008, 0.7992, 0.2500)  1.87
V (0.7992, 0.2008, 0.7500)  1.87
O (0.0541, 0.9459, 0.7500)  -0.01
O (0.9459, 0.0541, 0.2500)  -0.01
H (0.1519, 0.9033, 0.8497)  0.00
H (0.9033, 0.1519, 0.3497)  0.00
H (0.8481, 0.0967, 0.1503)  0.00
H (0.0967, 0.8481, 0.6503)  0.00

Output
The energy is -8.530 eV per atom. As for the space group: C2/c. As for the magnetization: 4.00 Bohr magnetons per cell.